Sb2PdW: relaxed, PBE.

```
Sb2PdW
1.0
-1.787 0.733 2.432
-2.010 -2.078 1.133
5.708 -3.842 7.337
Sb Pd W
2 1 1
direct
0.093 0.093 0.721 Sb
0.907 0.907 0.279 Sb
0.500 0.500 0.500 Pd
0.000 0.000 0.000 W
```

Results
- Crystal system: trigonal
- E above lowest polymorph: 210 meV/atom
- Spin magnetization: 0.00 μB per formula unit


Sb2PdW: relaxed, PBE.

```
Sb2PdW
1.0
0.000 3.380 3.380
3.380 0.000 3.380
3.380 3.380 0.000
Sb Pd W
2 1 1
direct
0.250 0.250 0.250 Sb
0.750 0.750 0.750 Sb
0.000 0.000 0.000 Pd
0.500 0.500 0.500 W
```

Results
- Crystal system: cubic
- E above lowest polymorph: 0 meV/atom
- Spin magnetization: 0.00 μB per formula unit


Sb3PdW: relaxed, PBE.

```
Sb3PdW
1.0
-1.101 3.430 -3.753
1.087 -3.592 -3.602
-4.967 -1.547 0.044
Sb Pd W
3 1 1
direct
0.000 0.500 0.000 Sb
0.000 0.000 0.500 Sb
0.500 0.000 0.000 Sb
0.500 0.500 0.500 Pd
0.000 0.000 0.000 W
```

Results
- Crystal system: cubic
- E above lowest polymorph: 0 meV/atom
- Spin magnetization: 0.00 μB per formula unit


Sb3PdW: relaxed, PBE.

```
Sb3PdW
1.0
5.134 0.000 0.000
0.000 5.134 0.000
0.000 0.000 5.134
Sb Pd W
3 1 1
direct
0.000 0.500 0.000 Sb
0.000 0.000 0.500 Sb
0.500 0.000 0.000 Sb
0.000 0.000 0.000 Pd
0.500 0.500 0.500 W
```

Results
- Crystal system: cubic
- E above lowest polymorph: 428 meV/atom
- Spin magnetization: 3.00 μB per formula unit


Sb2Pd2W: relaxed, PBE.

```
Sb2Pd2W
1.0
7.342 0.000 0.000
0.000 7.342 0.000
0.000 0.000 3.509
Sb Pd W
4 4 2
direct
0.178 0.678 0.500 Sb
0.678 0.822 0.500 Sb
0.822 0.322 0.500 Sb
0.322 0.178 0.500 Sb
0.371 0.871 0.000 Pd
0.871 0.629 0.000 Pd
0.629 0.129 0.000 Pd
0.129 0.371 0.000 Pd
0.000 0.000 0.000 W
0.500 0.500 0.000 W
```

Results
- Crystal system: tetragonal
- E above lowest polymorph: 0 meV/atom
- Spin magnetization: 0.60 μB per formula unit


Sb2PdW: relaxed, PBE.

```
Sb2PdW
1.0
-0.907 -4.762 3.722
3.050 -3.610 -3.876
6.209 -2.923 2.790
Sb Pd W
4 2 2
direct
0.626 0.125 0.250 Sb
0.124 0.625 0.250 Sb
0.375 0.374 0.750 Sb
0.875 0.876 0.750 Sb
0.500 0.500 0.000 Pd
0.250 0.750 0.500 Pd
0.000 0.000 0.000 W
0.750 0.250 0.500 W
```

Results
- Crystal system: tetragonal
- E above lowest polymorph: 275 meV/atom
- Spin magnetization: 0.00 μB per formula unit


| no. | formation energy without anion corrections (eV per atom) | calculated volume (Å³/cell) |
| --- | --- | --- |
| 1 | 0.606 | 83 |
| 2 | 0.396 | 77 |
| 3 | 0.788 | 141 |
| 4 | 1.217 | 135 |
| 5 | 0.324 | 189 |
| 6 | 0.672 | 225 |